Below is a crystal of SrAgP3 relaxed with PBEsol, with properties calculated at the meta-GGA SCAN level.

It has space group Pm-3m (No. 221), with a = 4.836 Å, b = 4.836 Å, c = 4.836 Å, α = 90.00°, β = 90.00° and γ = 90.00°. The inequivalent atoms are Sr at (0.000, 0.000, 0.000), Ag at (0.500, 0.500, 0.500) and P at (0.000, 0.500, 0.500).

Its spin magnetization is 0.0 μB per formula unit. The total energy is -16.674 eV/atom.